Li2MnCr3O8 after structural relaxation. Source: Alexandria, functional PBE+U.

Cell lengths 5.899, 5.889, 5.941 Å; angles 90.10, 118.71, 119.90 degrees
Last column: magnetic moment on the atom in μB.
Element x y z (fractional)
Li1 0.000 0.500 0.500  -0.01
Li2 0.000 0.000 0.500  0.00
Mn1 0.000 0.000 0.000  3.33
Cr1 0.500 0.500 0.000  2.26
Cr2 0.000 0.500 0.000  2.98
Cr3 0.500 0.000 0.000  2.96
O1 0.530 0.275 0.801  -0.09
O2 0.538 0.761 0.797  -0.10
O3 0.032 0.259 0.786  -0.07
O4 0.968 0.227 0.210  -0.07
O5 0.032 0.773 0.790  -0.07
O6 0.968 0.741 0.214  -0.07
O7 0.462 0.239 0.203  -0.10
O8 0.470 0.725 0.199  -0.09

Output
ρ, Mg/m³: 3.94
Space-group type: P-1
Excess energy over the best structure of this formula in the dataset, meV/atom: 86
Raw total energy, eV/atom: -7.0213